First-principles (GGA-PBE) data for a relaxed structure of NbTeN2F, as listed in the Alexandria database.

Computed properties:
* magnetic moment: 0.7 μB/f.u.
* symmetry: P4/mmm, No. 123
* density: 4.8 g/cm3
* ΔE_f (raw): 0.18 eV per atom
* distance to the lowest polymorph of the same formula: 349 meV/atom
* D(E_F): 0.4754 states/eV/atom

The structure in POSCAR format:
```
NbTeN2F
1.0
3.9529 0.0000 0.0000
0.0000 3.9529 0.0000
0.0000 0.0000 5.8964
Te Nb N F
1 1 2 1
direct
0.0000 0.0000 0.5000
0.0000 0.0000 0.0000
0.0000 0.5000 0.0000
0.5000 0.0000 0.0000
0.5000 0.5000 0.5000
```